1.
# Be3As2H10N2O10, relaxed, DFT PBE
data_Be3As2H10N2O10
_cell_length_a 9.9849
_cell_length_b 8.8201
_cell_length_c 13.7891
_cell_angle_alpha 90.00
_cell_angle_beta 126.40
_cell_angle_gamma 90.00
_symmetry_space_group_name_H-M 'P 1 21/c 1'
_symmetry_Int_Tables_number 14
loop_
_symmetry_equiv_pos_as_xyz
'x,y,z'
'-x,-y,-z'
'-x,y+1/2,-z+1/2'
'x,-y+1/2,z+1/2'
loop_
_atom_site_label
_atom_site_type_symbol
_atom_site_fract_x
_atom_site_fract_y
_atom_site_fract_z
Be1 Be 0.2189 0.0639 0.3058
Be2 Be 0.2661 0.0711 0.6604
Be3 Be 0.2721 0.2411 0.9909
As1 As 0.0520 0.1364 0.7394
As2 As 0.4476 0.1423 0.2437
H1 H 0.0145 0.7123 0.5328
H2 H 0.0885 0.0903 0.4634
H3 H 0.0891 0.6349 0.4648
H4 H 0.1835 0.5886 0.6153
H5 H 0.2070 0.7361 0.0789
H6 H 0.2879 0.7482 0.4114
H7 H 0.2900 0.5558 0.4305
H8 H 0.3914 0.0553 0.4993
H9 H 0.4349 0.6422 0.4199
H10 H 0.4438 0.6653 0.5455
N1 N 0.1235 0.6722 0.5479
N2 N 0.3638 0.6526 0.4527
O1 O 0.0606 0.1749 0.2127
O2 O 0.1206 0.0199 0.6768
O3 O 0.1533 0.5972 0.8252
O4 O 0.1662 0.1070 0.8923
O5 O 0.1687 0.1604 0.5281
O6 O 0.3145 0.0186 0.2444
O7 O 0.3450 0.1387 0.4415
O8 O 0.3496 0.5873 0.1480
O9 O 0.4141 0.1771 0.7729
O10 O 0.4163 0.1423 0.1072
# Final energy ... -156.00 eV per formula unit

***

2.
# Tb12YEr5, relaxed, DFT PBE
data_Tb12YEr5
_cell_length_a 10.6314
_cell_length_b 5.0151
_cell_length_c 10.6441
_cell_angle_alpha 90.00
_cell_angle_beta 90.11
_cell_angle_gamma 90.00
_symmetry_space_group_name_H-M 'P 1 2/m 1'
_symmetry_Int_Tables_number 10
loop_
_symmetry_equiv_pos_as_xyz
'x,y,z'
'-x,-y,-z'
'-x,y,-z'
'x,-y,z'
loop_
_atom_site_label
_atom_site_type_symbol
_atom_site_fract_x
_atom_site_fract_y
_atom_site_fract_z
Tb1 Tb 0.0005 0.0000 0.1664
Tb2 Tb 0.1675 0.5000 0.0006
Tb3 Tb 0.1670 0.5000 0.6670
Tb4 Tb 0.3336 0.0000 0.4995
Tb5 Tb 0.3340 0.0000 0.8340
Tb6 Tb 0.4994 0.5000 0.3325
Y1 Y 0.0000 0.0000 0.5000
Er1 Er 0.1674 0.5000 0.3326
Er2 Er 0.3333 0.0000 0.1666
Er3 Er 0.5000 0.5000 0.0000
# ΔE_f ... 0.3 eV/f.u.
# Final energy ... -84.51 eV per formula unit

***

3.
# BaBi2As, relaxed, DFT PBE
data_BaBi2As
_cell_length_a 6.5752
_cell_length_b 6.6751
_cell_length_c 13.3016
_cell_angle_alpha 90.00
_cell_angle_beta 90.00
_cell_angle_gamma 90.00
_symmetry_space_group_name_H-M 'C m c m'
_symmetry_Int_Tables_number 63
_symmetry_space_group_name_Hall '-C 2c 2'
loop_
_atom_site_label
_atom_site_type_symbol
_atom_site_fract_x
_atom_site_fract_y
_atom_site_fract_z
Ba1 Ba 0.0000 0.2234 0.2500
Bi1 Bi 0.0000 0.2268 0.5347
As1 As 0.0000 0.2742 0.7500
# ΔE_f ... -1.8 eV/f.u.
# Final energy ... -16.13 eV per formula unit

***

4.
# La2TmSi3Pt12, relaxed, DFT PBE
data_La2TmSi3Pt12
_cell_length_a 8.3429
_cell_length_b 8.3429
_cell_length_c 18.2259
_cell_angle_alpha 90.00
_cell_angle_beta 90.00
_cell_angle_gamma 120.00
_symmetry_space_group_name_H-M 'R -3 m'
_symmetry_Int_Tables_number 166
_symmetry_space_group_name_Hall '-R 3 2"'
loop_
_atom_site_label
_atom_site_type_symbol
_atom_site_fract_x
_atom_site_fract_y
_atom_site_fract_z
La1 La 0.0000 0.0000 0.1024
Tm1 Tm 0.0000 0.0000 0.5000
Si1 Si 0.0000 0.5000 0.0000
Pt1 Pt 0.0253 0.5126 0.8708
Pt2 Pt 0.0343 0.5172 0.3662
# Final energy ... -113.86 eV per formula unit

***

5.
# Pr4PtSI2, relaxed, DFT PBE
data_Pr4PtSI2
_cell_length_a 7.5224
_cell_length_b 4.1703
_cell_length_c 8.2255
_cell_angle_alpha 90.00
_cell_angle_beta 106.95
_cell_angle_gamma 90.00
_symmetry_space_group_name_H-M 'P 1 2/m 1'
_symmetry_Int_Tables_number 10
loop_
_symmetry_equiv_pos_as_xyz
'x,y,z'
'-x,-y,-z'
'-x,y,-z'
'x,-y,z'
loop_
_atom_site_label
_atom_site_type_symbol
_atom_site_fract_x
_atom_site_fract_y
_atom_site_fract_z
Pr1 Pr 0.2210 0.0000 0.1948
Pr2 Pr 0.2773 0.5000 0.8056
Pt1 Pt 0.5000 0.0000 0.0000
S1 S 0.0000 0.5000 0.0000
I1 I 0.0000 0.0000 0.5000
I2 I 0.5000 0.5000 0.5000
# Final energy ... -42.58 eV per formula unit

***

- Which value of final energy does entry 1 give?
  -156.00 eV per formula unit

***

- What is the final energy in the first record?
  -156.00 eV per formula unit

***

- Among the records above, which one has the lowest final energy?
  Be3As2H10N2O10

***

- Number 1 is which compound?
  Be3As2H10N2O10